1.
Sc2CuRh | PBE-GGA | relaxed

## Properties
total energy	-6.3284	eV/atom
calculated formation energy	-301	meV/atom
total moment	0.00	μB/atom

Unit cell a=7.9243 b=7.9243 c=7.9243 alpha=24.32 beta=24.32 gamma=24.32
Positions (direct):
Cu 0.2500 0.2500 0.2500
Sc 0.4969 0.4969 0.4969
Sc 0.0031 0.0031 0.0031
Rh 0.7500 0.7500 0.7500

2.
ScCu2Rh | PBE-GGA | relaxed

## Properties
total energy	-5.3051	eV/atom
calculated formation energy	164	meV/atom
total moment	0.15	μB/atom

Unit cell a=8.9403 b=8.9403 c=8.9403 alpha=18.10 beta=18.10 gamma=18.10
Each line ends with the local moment (μB).
Positions (direct):
Rh 0.2500 0.2500 0.2500  0.58
Sc 0.7500 0.7500 0.7500  0.01
Cu 0.9965 0.9965 0.9965  0.02
Cu 0.5035 0.5035 0.5035  0.02

3.
Sc6CuRh2 | PBE-GGA | relaxed

## Properties
total energy	-6.7891	eV/atom
calculated formation energy	-479	meV/atom
total moment	0.00	μB/atom

Unit cell a=4.6209 b=6.1018 c=7.3136 alpha=83.13 beta=71.58 gamma=67.75
Positions (direct):
Sc 0.0294 0.7759 0.1653
Sc 0.3053 0.2240 0.1653
Sc 0.6387 0.2225 0.5000
Sc 0.6947 0.7760 0.8347
Sc 0.3613 0.7775 0.5000
Sc 0.9706 0.2241 0.8347
Rh 0.6667 0.5000 0.1666
Rh 0.3333 0.5000 0.8334
Cu 0.0000 0.5000 0.5000

4.
Sc5CuRh4 | PBE-GGA | relaxed

## Properties
total energy	-7.3871	eV/atom
calculated formation energy	-871	meV/atom
total moment	0.00	μB/atom

Unit cell a=3.2112 b=3.2112 c=16.4893 alpha=90.00 beta=90.00 gamma=90.00
Positions (direct):
Sc 0.5000 0.5000 0.6994
Sc 0.5000 0.5000 0.1009
Sc 0.5000 0.5000 0.5000
Sc 0.5000 0.5000 0.3006
Sc 0.5000 0.5000 0.8991
Rh 0.0000 0.0000 0.4005
Rh 0.0000 0.0000 0.2008
Rh 0.0000 0.0000 0.7992
Rh 0.0000 0.0000 0.5995
Cu 0.0000 0.0000 0.0000

5.
ScCu2Rh | PBE-GGA | relaxed

## Properties
total energy	-5.8828	eV/atom
calculated formation energy	-414	meV/atom
total moment	0.00	μB/atom

Unit cell a=4.6821 b=4.6821 c=3.9373 alpha=65.13 beta=65.13 gamma=49.71
Positions (direct):
Sc 0.7500 0.7500 0.7500
Cu 0.2500 0.2500 0.2500
Cu 0.0000 0.0000 0.9999
Rh 0.5000 0.5000 0.5000

6.
ScCu2Rh | PBE-GGA | relaxed

## Properties
total energy	-5.7880	eV/atom
calculated formation energy	-319	meV/atom
total moment	0.00	μB/atom

Unit cell a=4.3649 b=4.3649 c=4.3649 alpha=60.00 beta=60.00 gamma=60.00
Positions (direct):
Cu 0.7500 0.7500 0.7500
Cu 0.2500 0.2500 0.2500
Rh 0.5000 0.5000 0.5000
Sc 0.0000 0.0000 0.0000